An optimized crystal structure of Mo2RhW, computed with PBE-GGA.

Cell: 3.204 3.204 6.111 Å, 90.00 90.00 90.00°
Atoms (fractional coordinates):
Mo  0.000  0.000  0.002
Mo  0.500  0.500  0.236
Rh  0.000  0.000  0.509
W  0.500  0.500  0.753

Summary:
As for the distance to the lowest polymorph of the same formula: 0.1171 eV/atom. The calculation puts the total energy at -10.36 eV/atom. The value obtained for the size of the total moment is 0.00 μB/f.u. The volume is 15.68 Å³ per atom. The formation enthalpy at 0 K comes out at 0.128 eV per atom.

---

An optimized crystal structure of RbTl4Pd4, computed with PBE-GGA.

Cell: 5.471 9.389 9.389 Å, 90.00 90.00 90.00°
Atoms (fractional coordinates):
Rb  0.000  0.000  0.000
Rb  0.500  0.500  0.500
Tl  0.404  0.353  0.870
Tl  0.904  0.630  0.853
Tl  0.404  0.647  0.130
Tl  0.096  0.147  0.630
Tl  0.596  0.870  0.647
Tl  0.096  0.853  0.370
Tl  0.904  0.370  0.147
Tl  0.596  0.130  0.353
Pd  0.597  0.834  0.338
Pd  0.597  0.166  0.662
Pd  0.097  0.838  0.666
Pd  0.903  0.334  0.838
Pd  0.903  0.666  0.162
Pd  0.403  0.338  0.166
Pd  0.403  0.662  0.834
Pd  0.097  0.162  0.334

Summary:
The calculation puts the total energy at -3.57 eV/atom. The value obtained for the size of the total moment is 0.00 μB/f.u. The volume is 26.79 Å³ per atom. The formation enthalpy at 0 K comes out at -0.106 eV per atom.

---

An optimized crystal structure of CePu2Ga, computed with PBE-GGA.

Cell: 4.500 4.500 5.618 Å, 113.61 113.61 90.00°
Atoms (fractional coordinates):
Ce  0.000  0.000  0.000
Pu  0.250  0.750  0.500
Pu  0.750  0.250  0.500
Ga  0.500  0.500  0.000

Summary:
As for the distance to the lowest polymorph of the same formula: 0.0000 eV/atom. The calculation puts the total energy at -9.61 eV/atom. The value obtained for the size of the total moment is 11.89 μB/f.u. The volume is 23.44 Å³ per atom. The formation enthalpy at 0 K comes out at -0.202 eV per atom.

---

An optimized crystal structure of Sm6DyTm3, computed with PBE-GGA.

Cell: 6.382 11.640 11.640 Å, 130.60 90.00 90.00°
Atoms (fractional coordinates):
Sm  0.072  0.740  0.621
Sm  0.572  0.621  0.740
Sm  0.324  0.455  0.895
Sm  0.824  0.895  0.455
Sm  0.315  0.984  0.016
Sm  0.793  0.301  0.699
Sm  0.293  0.699  0.301
Sm  0.815  0.016  0.984
Sm  0.324  0.105  0.545
Sm  0.824  0.545  0.105
Sm  0.072  0.379  0.260
Sm  0.572  0.260  0.379
Dy  0.013  0.159  0.841
Dy  0.513  0.841  0.159
Tm  0.490  0.957  0.707
Tm  0.990  0.707  0.957
Tm  0.093  0.419  0.581
Tm  0.593  0.581  0.419
Tm  0.990  0.043  0.293
Tm  0.490  0.293  0.043

Summary:
As for the distance to the lowest polymorph of the same formula: 0.0000 eV/atom. The calculation puts the total energy at -4.50 eV/atom. The value obtained for the size of the total moment is 0.00 μB/f.u. The volume is 32.83 Å³ per atom. The formation enthalpy at 0 K comes out at 0.129 eV per atom.

---

An optimized crystal structure of Li2AsRu, computed with PBE-GGA.

Cell: 3.166 3.166 5.741 Å, 90.00 90.00 90.00°
Atoms (fractional coordinates):
As  0.500  0.500  0.724
Li  0.000  0.000  0.996
Li  0.500  0.500  0.259
Ru  0.000  0.000  0.522

Summary:
The calculation puts the total energy at -4.74 eV/atom. The value obtained for the size of the total moment is 0.00 μB/f.u. The volume is 14.39 Å³ per atom. The formation enthalpy at 0 K comes out at -0.302 eV per atom.

---

An optimized crystal structure of K4PuPa3N8, computed with PBE-GGA.

Cell: 7.192 7.639 7.191 Å, 118.09 120.00 90.00°
Atoms (fractional coordinates):
K  0.500  0.000  0.000
K  0.500  0.000  0.500
K  0.000  0.000  0.000
K  0.000  0.000  0.500
Pu  0.000  0.500  0.000
Pa  0.500  0.500  0.000
Pa  0.500  0.500  0.500
Pa  0.000  0.500  0.500
N  0.218  0.658  0.941
N  0.218  0.658  0.435
N  0.280  0.341  0.560
N  0.723  0.658  0.941
N  0.277  0.342  0.059
N  0.720  0.659  0.440
N  0.782  0.342  0.565
N  0.782  0.342  0.059

Summary:
The calculation puts the total energy at -8.18 eV/atom. The value obtained for the size of the total moment is 3.00 μB/f.u. The volume is 17.95 Å³ per atom.

---

An optimized crystal structure of Tl4Cd2W, computed with PBE-GGA.

Cell: 5.516 5.516 8.267 Å, 70.51 70.51 90.00°
Atoms (fractional coordinates):
Tl  0.815  0.815  0.370
Tl  0.185  0.185  0.630
Tl  0.000  0.500  0.000
Tl  0.500  0.000  0.000
W  0.000  0.000  0.000
Cd  0.618  0.618  0.764
Cd  0.382  0.382  0.236

Summary:
The calculation puts the total energy at -2.85 eV/atom. The value obtained for the size of the total moment is 0.00 μB/f.u. The volume is 31.69 Å³ per atom. The formation enthalpy at 0 K comes out at 0.614 eV per atom.

---

An optimized crystal structure of Ce3Th2Ru2, computed with PBE-GGA.

Cell: 4.128 3.888 12.920 Å, 90.00 99.22 90.00°
Atoms (fractional coordinates):
Ce  0.214  0.000  0.429
Ce  0.000  0.000  0.000
Ce  0.786  0.000  0.571
Th  0.395  0.500  0.790
Th  0.605  0.500  0.210
Ru  0.098  0.000  0.196
Ru  0.902  0.000  0.804

Summary:
As for the distance to the lowest polymorph of the same formula: 0.1559 eV/atom. The calculation puts the total energy at -7.44 eV/atom. The value obtained for the size of the total moment is 1.84 μB/f.u. The volume is 29.24 Å³ per atom. The formation enthalpy at 0 K comes out at -0.122 eV per atom.

---

An optimized crystal structure of KIn3Hg, computed with PBE-GGA.

Cell: 4.857 4.856 7.342 Å, 70.86 70.84 90.42°
Atoms (fractional coordinates):
K  0.407  0.210  0.891
In  0.650  0.953  0.405
In  0.150  0.454  0.405
In  0.790  0.593  0.125
Hg  0.011  0.814  0.684

Summary:
As for the distance to the lowest polymorph of the same formula: 0.0000 eV/atom. The calculation puts the total energy at -2.06 eV/atom. The value obtained for the size of the total moment is 0.00 μB/f.u. The volume is 30.65 Å³ per atom. The formation enthalpy at 0 K comes out at -0.137 eV per atom.

---

An optimized crystal structure of MgReAg2C, computed with PBE-GGA.

Cell: 4.852 3.966 4.852 Å, 90.00 90.00 90.00°
Atoms (fractional coordinates):
Re  0.500  0.500  0.500
Mg  0.000  0.000  0.000
C  0.000  0.500  0.000
Ag  0.000  0.000  0.500
Ag  0.500  0.000  0.000

Summary:
The calculation puts the total energy at -3.69 eV/atom. The value obtained for the size of the total moment is 3.07 μB/f.u. The volume is 18.67 Å³ per atom. The formation enthalpy at 0 K comes out at 2.107 eV per atom.

---

An optimized crystal structure of Li4Te, computed with PBE-GGA.

Cell: 7.766 7.766 7.766 Å, 150.86 150.86 41.68°
Atoms (fractional coordinates):
Li  0.750  0.250  0.500
Li  0.250  0.750  0.500
Li  0.585  0.585  0.000
Li  0.415  0.415  0.000
Te  0.000  0.000  0.000

Summary:
As for the distance to the lowest polymorph of the same formula: 0.0822 eV/atom. The calculation puts the total energy at -2.39 eV/atom. The value obtained for the size of the total moment is 0.00 μB/f.u. The volume is 22.16 Å³ per atom.

---

An optimized crystal structure of Na3Ga, computed with PBE-GGA.

Cell: 3.442 3.125 10.963 Å, 90.00 90.00 90.00°
Atoms (fractional coordinates):
Na  0.000  0.500  0.461
Na  0.500  0.500  0.170
Na  0.500  0.000  0.735
Ga  0.000  0.000  0.968

Summary:
The calculation puts the total energy at -1.66 eV/atom. The value obtained for the size of the total moment is 0.00 μB/f.u. The volume is 29.48 Å³ per atom. The formation enthalpy at 0 K comes out at 0.084 eV per atom.

---

An optimized crystal structure of CaFeAg, computed with PBE-GGA.

Cell: 4.542 4.542 3.689 Å, 90.00 90.00 120.00°
Atoms (fractional coordinates):
Ca  0.667  0.333  0.334
Fe  0.333  0.667  0.833
Ag  0.000  0.000  0.833

Summary:
The calculation puts the total energy at -4.12 eV/atom. The value obtained for the size of the total moment is 2.71 μB/f.u. The volume is 21.97 Å³ per atom. The formation enthalpy at 0 K comes out at 0.319 eV per atom.

---

An optimized crystal structure of Li2NdSmHg4, computed with PBE-GGA.

Cell: 5.109 5.109 8.905 Å, 73.33 73.33 60.00°
Atoms (fractional coordinates):
Li  0.751  0.751  0.748
Li  0.249  0.249  0.252
Nd  0.000  0.000  0.000
Sm  0.500  0.500  0.500
Hg  0.377  0.377  0.870
Hg  0.875  0.875  0.376
Hg  0.125  0.125  0.624
Hg  0.623  0.623  0.130

Summary:
The calculation puts the total energy at -2.27 eV/atom. The value obtained for the size of the total moment is 0.00 μB/f.u. The volume is 23.74 Å³ per atom. The formation enthalpy at 0 K comes out at -0.452 eV per atom.

---

An optimized crystal structure of Be2HgPb, computed with PBE-GGA.

Cell: 4.397 4.397 3.822 Å, 90.00 90.00 90.00°
Atoms (fractional coordinates):
Pb  0.000  0.500  0.500
Be  0.000  0.000  0.000
Be  0.500  0.500  0.000
Hg  0.500  0.000  0.500

Summary:
As for the distance to the lowest polymorph of the same formula: 0.3910 eV/atom. The calculation puts the total energy at -2.10 eV/atom. The value obtained for the size of the total moment is 0.00 μB/f.u. The volume is 18.47 Å³ per atom. The formation enthalpy at 0 K comes out at 0.763 eV per atom.

---

An optimized crystal structure of Pm2NdSb, computed with PBE-GGA.

Cell: 4.010 4.010 11.113 Å, 79.61 79.61 60.00°
Atoms (fractional coordinates):
Sb  0.500  0.500  0.500
Nd  0.000  0.000  0.000
Pm  0.106  0.106  0.683
Pm  0.894  0.894  0.317

Summary:
As for the distance to the lowest polymorph of the same formula: 0.4447 eV/atom. The calculation puts the total energy at -4.73 eV/atom. The value obtained for the size of the total moment is 1.27 μB/f.u. The volume is 37.85 Å³ per atom.

---

An optimized crystal structure of Pm5ScSn6, computed with PBE-GGA.

Cell: 8.165 8.146 6.872 Å, 53.65 83.65 79.24°
Atoms (fractional coordinates):
Pm  0.500  0.172  0.656
Pm  0.000  0.327  0.345
Pm  0.500  0.500  0.000
Pm  0.000  0.673  0.655
Pm  0.500  0.828  0.344
Sc  0.000  0.000  0.000
Sn  0.757  0.092  0.302
Sn  0.243  0.606  0.302
Sn  0.242  0.241  0.000
Sn  0.758  0.759  0.000
Sn  0.757  0.394  0.698
Sn  0.243  0.908  0.698

Summary:
The calculation puts the total energy at -5.08 eV/atom. The value obtained for the size of the total moment is 0.00 μB/f.u. The volume is 30.14 Å³ per atom. The formation enthalpy at 0 K comes out at -0.572 eV per atom.

---

An optimized crystal structure of Zr2Al5IrPd2, computed with PBE-GGA.

Cell: 3.515 9.792 9.792 Å, 90.00 90.00 90.00°
Atoms (fractional coordinates):
Zr  0.000  0.684  0.184
Zr  0.000  0.316  0.816
Zr  0.000  0.184  0.316
Zr  0.000  0.816  0.684
Al  0.500  0.194  0.047
Al  0.500  0.806  0.953
Al  0.500  0.047  0.806
Al  0.500  0.694  0.453
Al  0.500  0.953  0.194
Al  0.500  0.306  0.547
Al  0.500  0.547  0.694
Al  0.500  0.453  0.306
Al  0.500  0.500  0.000
Al  0.500  0.000  0.500
Ir  0.000  0.000  0.000
Ir  0.000  0.500  0.500
Pd  0.000  0.120  0.620
Pd  0.000  0.880  0.380
Pd  0.000  0.620  0.880
Pd  0.000  0.380  0.120

Summary:
The calculation puts the total energy at -6.16 eV/atom. The value obtained for the size of the total moment is 0.00 μB/f.u. The volume is 16.85 Å³ per atom. The formation enthalpy at 0 K comes out at -0.653 eV per atom.

---

An optimized crystal structure of LiCaNpO5, computed with PBE-GGA.

Cell: 5.802 5.802 7.986 Å, 104.86 104.86 107.77°
Atoms (fractional coordinates):
Li  0.691  0.309  0.250
Li  0.309  0.691  0.750
Ca  0.334  0.666  0.250
Ca  0.666  0.334  0.750
Np  0.000  0.000  0.500
Np  0.000  0.000  0.000
O  0.087  0.913  0.250
O  0.913  0.087  0.750
O  0.913  0.297  0.104
O  0.087  0.703  0.896
O  0.703  0.087  0.396
O  0.297  0.913  0.604
O  0.741  0.650  0.414
O  0.259  0.350  0.586
O  0.350  0.259  0.086
O  0.650  0.741  0.914

Summary:
The calculation puts the total energy at -7.86 eV/atom. The value obtained for the size of the total moment is 0.00 μB/f.u. The volume is 14.40 Å³ per atom.

---

An optimized crystal structure of Sc2InS, computed with PBE-GGA.

Cell: 4.896 4.896 4.896 Å, 60.00 60.00 60.00°
Atoms (fractional coordinates):
Sc  0.250  0.250  0.250
Sc  0.750  0.750  0.750
S  0.000  0.000  0.000
In  0.500  0.500  0.500

Summary:
As for the distance to the lowest polymorph of the same formula: 0.6576 eV/atom. The calculation puts the total energy at -5.39 eV/atom. The value obtained for the size of the total moment is 0.00 μB/f.u. The volume is 20.75 Å³ per atom.